Below is an optimized crystal structure of Er2Be4Pt3Au, with properties calculated at the PBE level.

```
Er2Be4Pt3Au
1.0
4.055 0.000 0.000
0.000 4.055 0.000
0.000 0.000 9.404
Pt Be Er Au
3 4 2 1
direct
0.500 0.000 0.876 Pt
0.000 0.500 0.124 Pt
0.000 0.000 0.500 Pt
0.000 0.500 0.369 Be
0.500 0.000 0.631 Be
0.000 0.000 0.000 Be
0.500 0.500 0.000 Be
0.000 0.500 0.756 Er
0.500 0.000 0.244 Er
0.500 0.500 0.500 Au
```

Properties
ΔH_f (0 K) (eV per formula unit): -7.89
Crystal system: tetragonal
Volume (Å³ per cell): 155
Density of states at the Fermi level (states/eV/atom): 0.59
Symmetry: No. 115
Magnetic moment (μB per formula unit): 0.000